(P)
Density functional theory data (PBE) for KGdFeS3 after structural relaxation.

As for the space group: Pnma (62). As for the spin magnetization: 4.00 μB/f.u. The calculation puts the density at 4.30 Mg/m³.

Unit cell a=10.8809 b=4.1218 c=11.9964 alpha=90.00 beta=90.00 gamma=90.00
Fractional coordinates of all 24 atoms:
K1 0.1701 0.2500 0.0054
K2 0.3299 0.7500 0.5054
K3 0.6701 0.2500 0.4946
K4 0.8299 0.7500 0.9946
Gd1 0.0182 0.2500 0.6739
Gd2 0.4818 0.7500 0.1739
Gd3 0.5182 0.2500 0.8261
Gd4 0.9818 0.7500 0.3261
Fe1 0.2428 0.2500 0.2908
Fe2 0.2572 0.7500 0.7908
Fe3 0.7428 0.2500 0.2092
Fe4 0.7572 0.7500 0.7092
S1 0.0530 0.7500 0.8289
S2 0.1070 0.2500 0.4389
S3 0.2164 0.7500 0.2018
S4 0.2836 0.2500 0.7018
S5 0.3930 0.7500 0.9389
S6 0.4470 0.2500 0.3289
S7 0.5530 0.7500 0.6711
S8 0.6070 0.2500 0.0611
S9 0.7164 0.7500 0.2982
S10 0.7836 0.2500 0.7982
S11 0.8930 0.7500 0.5611
S12 0.9470 0.2500 0.1711

(Q)
Density functional theory data (PBE) for KGdFeS3 after structural relaxation.

As for the space group: P2_1/m (11). As for the spin magnetization: 4.00 μB/f.u. The calculation puts the density at 3.73 Mg/m³.

Unit cell a=8.8049 b=3.9775 c=9.2608 alpha=90.00 beta=106.72 gamma=90.00
Fractional coordinates of all 12 atoms:
K1 0.2062 0.2500 0.2349
K2 0.7938 0.7500 0.7651
Gd1 0.3334 0.7500 0.8514
Gd2 0.6666 0.2500 0.1486
Fe1 0.0755 0.2500 0.5927
Fe2 0.9245 0.7500 0.4073
S1 0.1097 0.2500 0.8462
S2 0.1961 0.7500 0.5323
S3 0.4555 0.7500 0.1581
S4 0.5445 0.2500 0.8419
S5 0.8039 0.2500 0.4677
S6 0.8903 0.7500 0.1538

(R)
Density functional theory data (PBE) for KGdFeS3 after structural relaxation.

As for the space group: Cmcm (63). As for the spin magnetization: 3.99 μB/f.u. The calculation puts the density at 3.86 Mg/m³.

Unit cell a=7.3739 b=7.3739 c=10.5391 alpha=90.00 beta=90.00 gamma=148.46
Fractional coordinates of all 12 atoms:
K1 0.2457 0.7543 0.7500
K2 0.7543 0.2457 0.2500
Gd1 0.5000 0.5000 0.0000
Gd2 0.5000 0.5000 0.5000
Fe1 0.0282 0.9718 0.2500
Fe2 0.9718 0.0282 0.7500
S1 0.1219 0.8781 0.0739
S2 0.1219 0.8781 0.4261
S3 0.4366 0.5634 0.2500
S4 0.5634 0.4366 0.7500
S5 0.8781 0.1219 0.5739
S6 0.8781 0.1219 0.9261

Order of stability, best first: (Q), (R), (P)